Compound: Ce3SmC
Source: Alexandria via LeMat-Bulk
Functional: PBE-GGA
Structure: optimized geometry

Unit cell a=5.0321 b=5.0321 c=5.0321 alpha=90.00 beta=90.00 gamma=90.00
Sites, in units of the cell vectors:
C  0.0000  0.0000  0.0000
Ce  0.0000  0.5000  0.0000
Ce  0.0000  0.0000  0.5000
Ce  0.5000  0.0000  0.0000
Sm  0.5000  0.5000  0.5000

Computed properties:
**Mass density**: 7.59 g/cm³
**Calculated formation energy**: 3 meV/atom
**E**: -6.35 eV/atom